Material: TbPm8Er2
Method: DFT, GGA-PBE
State: relaxed

Values from the calculation:
Symmetry: C2/m (12)
Total moment: 0.0 μB per cell
Final energy: -49.89 eV/cell
Energy above the most stable polymorph in this dataset: 0.0 meV/atom

a = 6.6925 Å, b = 10.3442 Å, c = 10.3442 Å
α = 38.16°, β = 59.71°, γ = 59.71°
With the nearest neighbours (Å) after each atom.
Sites, in units of the cell vectors:
Er1 0.5907 0.8015 0.8015  7 Pm 3.38-3.67, 1 Tb 3.78
Er2 0.4093 0.1985 0.1985  7 Pm 3.38-3.67, 1 Tb 3.78
Pm1 0.8298 0.2446 0.2446  5 Pm 3.31-3.48, 4 Er 3.38-3.65
Pm2 0.7693 0.1742 0.6506  5 Pm 3.22-3.54, 1 Tb 3.36, 1 Er 3.47
Pm3 0.2307 0.3494 0.8258  5 Pm 3.22-3.54, 1 Tb 3.36, 1 Er 3.47
Pm4 0.2746 0.4066 0.4066  8 Pm 3.36-3.75, 1 Er 3.67
Pm5 0.7693 0.6506 0.1742  5 Pm 3.22-3.54, 1 Tb 3.36, 1 Er 3.47
Pm6 0.7254 0.5934 0.5934  8 Pm 3.36-3.75, 1 Er 3.67
Pm7 0.2307 0.8258 0.3494  5 Pm 3.22-3.54, 1 Tb 3.36, 1 Er 3.47
Pm8 0.1702 0.7554 0.7554  5 Pm 3.31-3.48, 4 Er 3.38-3.65
Tb1 0.0000 0.0000 0.0000  4 Pm 3.36